(A)
DFT (PBE) results for a relaxed structure of Sm2HfGa.

Cell and atoms, written as POSCAR:
```
Sm2HfGa
1.0
4.6050 0.0000 0.0000
0.0000 4.6050 0.0000
0.0000 0.0000 4.6703
Sm Hf Ga
2 1 1
direct
0.0000 0.5000 0.0000
0.5000 0.0000 0.0000
0.0000 0.0000 0.5000
0.5000 0.5000 0.5000
```

Properties
As for the space group: P4/mmm.

---

(B)
DFT (PBE) results for a relaxed structure of Sm2HfGa.

Cell and atoms, written as POSCAR:
```
Sm2HfGa
1.0
3.4339 0.0000 0.0000
0.0000 3.4339 0.0000
0.0000 0.0000 8.8253
Sm Hf Ga
2 1 1
direct
0.0000 0.0000 0.2303
0.0000 0.0000 0.7697
0.5000 0.5000 0.5000
0.5000 0.5000 0.0000
```

Properties
As for the space group: P4/mmm.

---

(B) takes first place; second place is 1.8 kJ/mol of atoms up.

---

(A)
DFT (PBE) results for a relaxed structure of SmHfGa.

Cell and atoms, written as POSCAR:
```
SmHfGa
1.0
3.2940 0.0000 0.0000
-1.6470 2.8527 0.0000
0.0000 0.0000 15.2584
Sm Hf Ga
2 2 2
direct
0.0000 0.0000 0.1733
0.0000 0.0000 0.8267
0.3333 0.6667 0.3513
0.3333 0.6667 0.6487
0.0000 0.0000 0.5000
0.3333 0.6667 0.0000
```

Properties
As for the space group: P-6m2.

---

(B)
DFT (PBE) results for a relaxed structure of SmHfGa.

Cell and atoms, written as POSCAR:
```
SmHfGa
1.0
4.7043 0.0000 0.0000
-2.3521 4.0740 0.0000
0.0000 0.0000 3.8699
Sm Hf Ga
1 1 1
direct
0.0000 0.0000 0.0000
0.3333 0.6667 0.5000
0.6667 0.3333 0.5000
```

Properties
As for the space group: P-6m2.

---

(B) takes first place; second place is 5.8 kJ/mol of atoms up.

---

(A)
DFT (PBE) results for a relaxed structure of SmHfGa2.

Cell and atoms, written as POSCAR:
```
SmHfGa2
1.0
5.1362 0.0000 0.0000
0.0000 5.1362 0.0000
0.0000 0.0000 3.2134
Sm Hf Ga
1 1 2
direct
0.0000 0.0000 0.0000
0.5000 0.5000 0.0000
0.0000 0.5000 0.5000
0.5000 0.0000 0.5000
```

Properties
As for the space group: P4/mmm.

---

(B)
DFT (PBE) results for a relaxed structure of SmHfGa2.

Cell and atoms, written as POSCAR:
```
SmHfGa2
1.0
1.7738 1.0241 8.3825
-1.7738 1.0241 8.3825
0.0000 -2.0482 8.3825
Sm Hf Ga
1 1 2
direct
0.0000 0.0000 0.0000
0.5000 0.5000 0.5000
0.2440 0.2440 0.2440
0.7560 0.7560 0.7560
```

Properties
As for the space group: R-3m.

---

(A) takes first place; second place is 7.0 kJ/mol of atoms up.

---

(A)
DFT (PBE) results for a relaxed structure of HfGa2Sn2.

Cell and atoms, written as POSCAR:
```
HfGa2Sn2
1.0
7.3877 0.0000 0.0000
0.0000 7.3877 0.0000
0.0000 0.0000 3.9120
Hf Ga Sn
2 4 4
direct
0.0000 0.0000 0.0000
0.5000 0.5000 0.0000
0.1306 0.3694 0.0000
0.3694 0.8694 0.0000
0.6306 0.1306 0.0000
0.8694 0.6306 0.0000
0.1705 0.6705 0.5000
0.3295 0.1705 0.5000
0.6705 0.8295 0.5000
0.8295 0.3295 0.5000
```

Properties
As for the space group: P4/mbm.

---

(B)
DFT (PBE) results for a relaxed structure of HfGa2Sn2.

Cell and atoms, written as POSCAR:
```
HfGa2Sn2
1.0
7.6475 0.0000 0.0000
0.0000 7.6475 0.0000
0.0000 0.0000 3.8277
Hf Ga Sn
2 4 4
direct
0.0000 0.0000 0.0000
0.5000 0.5000 0.0000
0.1638 0.3362 0.5000
0.3362 0.8362 0.5000
0.6638 0.1638 0.5000
0.8362 0.6638 0.5000
0.1397 0.6397 0.0000
0.3603 0.1397 0.0000
0.6397 0.8603 0.0000
0.8603 0.3603 0.0000
```

Properties
As for the space group: P4/mbm.

---

(A) takes first place; second place is 13.2 kJ/mol of atoms up.

---

(A)
DFT (PBE) results for a relaxed structure of Hf2GaSn.

Cell and atoms, written as POSCAR:
```
Hf2GaSn
1.0
5.6302 0.0000 0.0000
0.0000 3.9831 0.0000
-2.6519 0.0000 7.3827
Hf Ga Sn
4 2 2
direct
0.1831 0.2500 0.4189
0.2643 0.7500 0.0622
0.7357 0.2500 0.9378
0.8169 0.7500 0.5811
0.1186 0.2500 0.7968
0.8814 0.7500 0.2032
0.3935 0.7500 0.7076
0.6065 0.2500 0.2924
```

Properties
As for the space group: P2_1/m.

---

(B)
DFT (PBE) results for a relaxed structure of Hf2GaSn.

Cell and atoms, written as POSCAR:
```
Hf2GaSn
1.0
-3.8131 3.8131 3.0097
3.8131 -3.8131 3.0097
3.8131 3.8131 -3.0097
Hf Ga Sn
4 2 2
direct
0.1113 0.6250 0.9863
0.3750 0.3613 0.4863
0.6387 0.1250 0.0137
0.8750 0.8887 0.5137
0.0000 0.0000 0.0000
0.7500 0.2500 0.5000
0.2500 0.7500 0.5000
0.5000 0.5000 0.0000
```

Properties
As for the space group: I-42d.

---

(A) takes first place; second place is 29.0 kJ/mol of atoms up.

---

(A)
DFT (PBE) results for a relaxed structure of Hf2GaSn.

Cell and atoms, written as POSCAR:
```
Hf2GaSn
1.0
2.7883 -1.6102 0.0000
2.7883 1.6102 0.0000
-1.8902 0.0000 9.4170
Hf Ga Sn
2 1 1
direct
0.0000 0.0000 0.0000
0.1583 0.1583 0.4694
0.4123 0.4123 0.2341
0.5791 0.5791 0.7349
```

Properties
As for the space group: Cm.

---

(B)
DFT (PBE) results for a relaxed structure of Hf2GaSn.

Cell and atoms, written as POSCAR:
```
Hf2GaSn
1.0
1.5906 0.9183 9.5963
-1.5906 0.9183 9.5963
0.0000 -1.8367 9.5963
Hf Ga Sn
2 1 1
direct
0.2465 0.2465 0.2465
0.7535 0.7535 0.7535
0.5000 0.5000 0.5000
0.0000 0.0000 0.0000
```

Properties
As for the space group: R-3m.

---

(C)
DFT (PBE) results for a relaxed structure of Hf2GaSn.

Cell and atoms, written as POSCAR:
```
Hf2GaSn
1.0
0.0000 3.4564 3.4564
3.4564 0.0000 3.4564
3.4564 3.4564 0.0000
Hf Ga Sn
2 1 1
direct
0.2500 0.2500 0.2500
0.7500 0.7500 0.7500
0.0000 0.0000 0.0000
0.5000 0.5000 0.5000
```

Properties
As for the space group: Fm-3m.

---

(A) takes first place; second place is 1.8 kJ/mol of atoms up.

---

(A)
DFT (PBE) results for a relaxed structure of HfGa3Sn.

Cell and atoms, written as POSCAR:
```
HfGa3Sn
1.0
5.2023 0.0000 0.0000
0.0000 5.2023 0.0000
0.0000 0.0000 5.2023
Hf Ga Sn
1 3 1
direct
0.0000 0.0000 0.0000
0.0000 0.0000 0.5000
0.0000 0.5000 0.0000
0.5000 0.0000 0.0000
0.5000 0.5000 0.5000
```

Properties
As for the space group: Pm-3m.

---

(B)
DFT (PBE) results for a relaxed structure of HfGa3Sn.

Cell and atoms, written as POSCAR:
```
HfGa3Sn
1.0
5.1093 0.0000 0.0000
0.0000 5.1093 0.0000
0.0000 0.0000 5.1093
Hf Ga Sn
1 3 1
direct
0.0000 0.0000 0.0000
0.0000 0.5000 0.5000
0.5000 0.0000 0.5000
0.5000 0.5000 0.0000
0.5000 0.5000 0.5000
```

Properties
As for the space group: Pm-3m.

---

(A) takes first place; second place is 43.6 kJ/mol of atoms up.

---

(A)
DFT (PBE) results for a relaxed structure of Hf4GaSn2.

Cell and atoms, written as POSCAR:
```
Hf4GaSn2
1.0
-2.3987 2.3987 7.5562
2.3987 -2.3987 7.5562
2.3987 2.3987 -7.5562
Hf Ga Sn
4 1 2
direct
0.0000 0.5000 0.5000
0.1686 0.1686 0.0000
0.5000 0.0000 0.5000
0.8314 0.8314 0.0000
0.0000 0.0000 0.0000
0.3615 0.3615 0.0000
0.6385 0.6385 0.0000
```

Properties
As for the space group: I4/mmm.

---

(B)
DFT (PBE) results for a relaxed structure of Hf4GaSn2.

Cell and atoms, written as POSCAR:
```
Hf4GaSn2
1.0
7.4953 -1.6117 0.0000
7.4953 1.6117 0.0000
-3.6044 0.0000 6.4596
Hf Ga Sn
4 1 2
direct
0.0765 0.0765 0.4339
0.3801 0.3801 0.1342
0.6199 0.6199 0.8658
0.9235 0.9235 0.5661
0.0000 0.0000 0.0000
0.2275 0.2275 0.2727
0.7725 0.7725 0.7273
```

Properties
As for the space group: C2/m.

---

(B) takes first place; second place is 36.1 kJ/mol of atoms up.